# LaHg2Sb2 PBE optimized geometry
# - calculated density (Mg/m³) = 9.43
# - E above lowest polymorph (meV per atom) = 152
# - formation energy without anion corrections (eV/atom) = -0.3280
data_LaHg2Sb2
_cell_length_a 8.238
_cell_length_b 8.238
_cell_length_c 4.064
_cell_angle_alpha 90.00
_cell_angle_beta 90.00
_cell_angle_gamma 90.00
_symmetry_space_group_name_H-M 'P 4/m b m'
_symmetry_Int_Tables_number 127
_symmetry_space_group_name_Hall '-P 4 2ab'
loop_
_atom_site_label
_atom_site_type_symbol
_atom_site_fract_x
_atom_site_fract_y
_atom_site_fract_z
La1 La 0.000 0.000 0.000
Hg1 Hg 0.121 0.379 0.000
Sb1 Sb 0.184 0.684 0.500